Here is CdGaSe2 after structural relaxation from Alexandria. Energies are from PBE.

As for the space group: R-3m. The uncorrected formation energy is -0.2272 eV/atom. The total energy comes out at -2.95 eV per atom.

Unit cell a=8.5084 b=8.5084 c=8.5084 alpha=25.84 beta=25.84 gamma=25.84
Fractional positions:
Cd1 0.0000 0.0000 0.0000
Se1 0.1091 0.1091 0.1091
Ga1 0.5000 0.5000 0.5000
Se2 0.8909 0.8909 0.8909